[1]
Zr2CrCd: relaxed, PBE.

## Properties
The value obtained for the spin magnetization is 2.07 μB per formula unit. For the uncorrected energy, the calculation gives -6.73 eV per atom. The crystal system is tetragonal. Its space-group type is No. 119. Its density of states at the Fermi level is 0.987 states/eV/atom. As for the formation energy: 17 kJ per mole of atoms. The calculation puts the density at 7.12 Mg/m³.

Lattice parameters (Å, degrees): 4.2327 4.2327 9.0310 90.00 90.00 90.00
Last column: nearest neighbours and their distance in Å.
Fractional coordinates of all 8 atoms:
Zr 0.0000 0.0000 0.0000  4 Cr 2.99, 4 Zr 3.09, 4 Cd 3.09
Zr 0.0000 0.5000 0.2500  4 Cd 2.99, 4 Cr 3.09, 4 Zr 3.09
Zr 0.5000 0.0000 0.7500  4 Cd 2.99, 4 Zr 3.09, 4 Cr 3.09
Zr 0.5000 0.5000 0.5000  4 Cr 2.99, 4 Zr 3.09, 4 Cd 3.09
Cr 0.0000 0.0000 0.5000  8 Zr 2.99-3.09, 4 Cd 3.09
Cr 0.5000 0.5000 0.0000  8 Zr 2.99-3.09, 4 Cd 3.09
Cd 0.0000 0.5000 0.7500  8 Zr 2.99-3.09, 4 Cr 3.09
Cd 0.5000 0.0000 0.2500  8 Zr 2.99-3.09, 4 Cr 3.09

***

[2]
ZrCr4Cd: relaxed, PBE.

## Properties
The value obtained for the spin magnetization is 0.00 μB per formula unit. For the uncorrected energy, the calculation gives -7.77 eV per atom. The crystal system is cubic. Its space-group type is No. 216. Its density of states at the Fermi level is 1.867 states/eV/atom. As for the formation energy: 22 kJ per mole of atoms. The calculation puts the density at 7.72 Mg/m³.

Lattice parameters (Å, degrees): 5.0039 5.0039 5.0039 60.00 60.00 60.00
Last column: nearest neighbours and their distance in Å.
Fractional coordinates of all 6 atoms:
Zr 0.0000 0.0000 0.0000  12 Cr 2.93, 4 Cd 3.06
Cr 0.3755 0.3755 0.3755  6 Cr 2.49-2.51
Cr 0.3755 0.3755 0.8734  6 Cr 2.49-2.51
Cr 0.3755 0.8734 0.3755  6 Cr 2.49-2.51
Cr 0.8734 0.3755 0.3755  6 Cr 2.49-2.51
Cd 0.7500 0.7500 0.7500  12 Cr 2.93, 4 Zr 3.06

***

[3]
Zr2CrCd: relaxed, PBE.

## Properties
The value obtained for the spin magnetization is 2.04 μB per formula unit. For the uncorrected energy, the calculation gives -6.72 eV per atom. The crystal system is orthorhombic. Its space-group type is No. 44. Its density of states at the Fermi level is 0.941 states/eV/atom. As for the formation energy: 18 kJ per mole of atoms. The calculation puts the density at 7.13 Mg/m³.

Lattice parameters (Å, degrees): 3.2230 5.0026 10.0243 90.00 90.00 90.00
Last column: nearest neighbours and their distance in Å.
Fractional coordinates of all 8 atoms:
Zr 0.0000 0.0000 0.0000  4 Cr 2.98, 2 Cd 3.16, 4 Zr 3.22
Zr 0.0000 0.5000 0.2220  2 Cr 2.74, 4 Cd 3.02
Zr 0.5000 0.0000 0.7220  2 Cr 2.74, 4 Cd 3.02
Zr 0.5000 0.5000 0.5000  4 Cr 2.98, 2 Cd 3.16, 4 Zr 3.22
Cr 0.0000 0.0000 0.5004  6 Zr 2.74-2.98, 2 Cd 2.81
Cr 0.5000 0.5000 0.0004  6 Zr 2.74-2.98, 2 Cd 2.81
Cd 0.0000 0.5000 0.7712  2 Cr 2.81, 4 Zr 3.02
Cd 0.5000 0.0000 0.2712  2 Cr 2.81, 4 Zr 3.02

***

[4]
Zr2CrCd: relaxed, PBE.

## Properties
The value obtained for the spin magnetization is 0.42 μB per formula unit. For the uncorrected energy, the calculation gives -6.88 eV per atom. The crystal system is monoclinic. Its space-group type is No. 10. Its density of states at the Fermi level is 1.256 states/eV/atom. As for the formation energy: 3 kJ per mole of atoms. The calculation puts the density at 7.30 Mg/m³.

Lattice parameters (Å, degrees): 3.2719 3.2608 7.3990 90.00 90.09 90.00
Last column: nearest neighbours and their distance in Å.
Fractional coordinates of all 4 atoms:
Zr 0.0009 0.0000 0.2908  4 Cr 2.78, 1 Zr 3.10
Zr 0.9991 0.0000 0.7092  4 Cr 2.78, 1 Zr 3.10
Cr 0.5000 0.5000 0.5000  8 Zr 2.78
Cd 0.5000 0.5000 0.0000  8 Zr 3.16, 4 Cd 3.26-3.27

***

[5]
Zr2CrCd: relaxed, PBE.

## Properties
The value obtained for the spin magnetization is 2.05 μB per formula unit. For the uncorrected energy, the calculation gives -6.76 eV per atom. The crystal system is monoclinic. Its space-group type is No. 6. Its density of states at the Fermi level is 0.881 states/eV/atom. As for the formation energy: 15 kJ per mole of atoms. The calculation puts the density at 7.09 Mg/m³.

Lattice parameters (Å, degrees): 3.1708 4.8561 5.2884 90.00 93.99 90.00
Last column: nearest neighbours and their distance in Å.
Fractional coordinates of all 4 atoms:
Zr 0.0000 0.0000 0.0000  3 Cr 2.87-3.12, 4 Cd 2.95-3.08, 4 Zr 3.16-3.17
Zr 0.1309 0.5000 0.6300  4 Cr 2.91-3.05, 3 Cd 2.93-3.01, 4 Zr 3.16-3.17
Cr 0.5760 0.0000 0.5022  7 Zr 2.87-3.12, 2 Cd 3.04, 2 Cr 3.17
Cd 0.5582 0.5000 0.1558  7 Zr 2.93-3.08, 2 Cr 3.04, 2 Cd 3.17

***

[6]
ZrCrCd3: relaxed, PBE.

## Properties
The value obtained for the spin magnetization is 3.07 μB per formula unit. For the uncorrected energy, the calculation gives -2.93 eV per atom. The crystal system is cubic. Its space-group type is No. 221. The calculation puts the relative energy among the computed polymorphs at 0.257 eV/atom. Its density of states at the Fermi level is 1.238 states/eV/atom. As for the formation energy: 121 kJ per mole of atoms. The calculation puts the density at 4.58 Mg/m³.

Lattice parameters (Å, degrees): 5.5845 5.5845 5.5845 90.00 90.00 90.00
Last column: nearest neighbours and their distance in Å.
Fractional coordinates of all 5 atoms:
Zr 0.0000 0.0000 0.0000  6 Cd 2.79
Cr 0.5000 0.5000 0.5000  12 Cd 3.95
Cd 0.0000 0.0000 0.5000  2 Zr 2.79
Cd 0.0000 0.5000 0.0000  2 Zr 2.79
Cd 0.5000 0.0000 0.0000  2 Zr 2.79

***

[7]
Zr4CrCd: relaxed, PBE.

## Properties
The value obtained for the spin magnetization is 3.96 μB per formula unit. For the uncorrected energy, the calculation gives -6.98 eV per atom. The crystal system is cubic. Its space-group type is No. 216. Its density of states at the Fermi level is 1.010 states/eV/atom. As for the formation energy: 46 kJ per mole of atoms. The calculation puts the density at 6.50 Mg/m³.

Lattice parameters (Å, degrees): 5.7612 5.7612 5.7612 60.00 60.00 60.00
Last column: nearest neighbours and their distance in Å.
Fractional coordinates of all 6 atoms:
Zr 0.3760 0.3760 0.3760  6 Zr 2.86-2.90
Zr 0.3760 0.3760 0.8721  6 Zr 2.86-2.90
Zr 0.3760 0.8721 0.3760  6 Zr 2.86-2.90
Zr 0.8721 0.3760 0.3760  6 Zr 2.86-2.90
Cr 0.7500 0.7500 0.7500  12 Zr 3.38, 4 Cd 3.53
Cd 0.0000 0.0000 0.0000  12 Zr 3.38, 4 Cr 3.53

***

[8]
Zr2CrCd: relaxed, PBE.

## Properties
The value obtained for the spin magnetization is 3.30 μB per formula unit. For the uncorrected energy, the calculation gives -6.62 eV per atom. The crystal system is trigonal. Its space-group type is No. 160. Its density of states at the Fermi level is 1.104 states/eV/atom. As for the formation energy: 28 kJ per mole of atoms. The calculation puts the density at 6.87 Mg/m³.

Lattice parameters (Å, degrees): 3.1136 3.1136 29.9460 90.00 90.00 120.00
Last column: nearest neighbours and their distance in Å.
Fractional coordinates of all 12 atoms:
Zr 0.0000 0.0000 0.0000  3 Cr 2.89, 9 Zr 3.11-3.22
Zr 0.0000 0.0000 0.2443  9 Zr 3.11-3.22, 3 Cd 3.22
Zr 0.3333 0.6667 0.6667  3 Cr 2.89, 9 Zr 3.11-3.22
Zr 0.3333 0.6667 0.9109  9 Zr 3.11-3.22, 3 Cd 3.22
Zr 0.6667 0.3333 0.3333  3 Cr 2.89, 9 Zr 3.11-3.22
Zr 0.6667 0.3333 0.5776  9 Zr 3.11-3.22, 3 Cd 3.22
Cr 0.0000 0.0000 0.7422  3 Zr 2.89, 3 Cd 2.98, 6 Cr 3.11
Cr 0.3333 0.6667 0.4088  3 Zr 2.89, 3 Cd 2.98, 6 Cr 3.11
Cr 0.6667 0.3333 0.0755  3 Zr 2.89, 3 Cd 2.98, 6 Cr 3.11
Cd 0.0000 0.0000 0.4884  3 Cr 2.98, 6 Cd 3.11, 3 Zr 3.22
Cd 0.3333 0.6667 0.1551  3 Cr 2.98, 6 Cd 3.11, 3 Zr 3.22
Cd 0.6667 0.3333 0.8217  3 Cr 2.98, 6 Cd 3.11, 3 Zr 3.22

***

[9]
Zr2CrCd: relaxed, PBE.

## Properties
The value obtained for the spin magnetization is 1.98 μB per formula unit. For the uncorrected energy, the calculation gives -6.75 eV per atom. The crystal system is tetragonal. Its space-group type is No. 123. Its density of states at the Fermi level is 1.205 states/eV/atom. As for the formation energy: 15 kJ per mole of atoms. The calculation puts the density at 7.15 Mg/m³.

Lattice parameters (Å, degrees): 4.4072 4.4072 4.1450 90.00 90.00 90.00
Last column: nearest neighbours and their distance in Å.
Fractional coordinates of all 4 atoms:
Zr 0.0000 0.5000 0.0000  4 Cd 3.03, 4 Cr 3.03, 4 Zr 3.12
Zr 0.5000 0.0000 0.0000  4 Cd 3.03, 4 Cr 3.03, 4 Zr 3.12
Cr 0.0000 0.0000 0.5000  8 Zr 3.03, 4 Cd 3.12
Cd 0.5000 0.5000 0.5000  8 Zr 3.03, 4 Cr 3.12

***

[10]
Zr2CrCd: relaxed, PBE.

## Properties
The value obtained for the spin magnetization is 3.14 μB per formula unit. For the uncorrected energy, the calculation gives -6.77 eV per atom. The crystal system is tetragonal. Its space-group type is No. 99. Its density of states at the Fermi level is 0.898 states/eV/atom. As for the formation energy: 14 kJ per mole of atoms. The calculation puts the density at 7.06 Mg/m³.

Lattice parameters (Å, degrees): 3.2377 3.2377 7.7807 90.00 90.00 90.00
Last column: nearest neighbours and their distance in Å.
Fractional coordinates of all 4 atoms:
Zr 0.0000 0.0000 0.0000  4 Cr 2.84, 4 Zr 3.16
Zr 0.5000 0.5000 0.2797  8 Zr 3.16-3.24, 4 Cd 3.16
Cr 0.5000 0.5000 0.7834  4 Zr 2.84, 4 Cd 2.87
Cd 0.0000 0.0000 0.5601  4 Cr 2.87, 4 Zr 3.16